Below is Er8Te4PSe3 after structural relaxation, with properties calculated at the PBE level.

Cell: 8.281 8.425 8.281 Å, 119.43 120.00 90.00°
Positions (direct):
Er (0.229, 0.710, 0.981)
Er (0.229, 0.710, 0.458)
Er (0.261, 0.284, 0.523)
Er (0.752, 0.710, 0.981)
Er (0.248, 0.290, 0.019)
Er (0.739, 0.716, 0.477)
Er (0.771, 0.290, 0.542)
Er (0.771, 0.290, 0.019)
Te (0.500, 0.000, 0.000)
Te (0.500, 0.000, 0.500)
Te (0.000, 0.000, 0.000)
Te (0.000, 0.000, 0.500)
P (0.000, 0.500, 0.000)
Se (0.500, 0.500, 0.000)
Se (0.500, 0.500, 0.500)
Se (0.000, 0.500, 0.500)

Summary:
Space-group type: No. 166
Raw total energy: -5.561 eV per atom
E_form (uncorrected): -1.50 eV/atom

---

Below is Er4Te2PSe after structural relaxation, with properties calculated at the PBE level.

Cell: 4.106 7.370 7.135 Å, 71.29 90.00 90.00°
Positions (direct):
Er (0.000, 0.712, 0.749)
Er (0.000, 0.288, 0.251)
Er (0.500, 0.708, 0.276)
Er (0.500, 0.292, 0.724)
Te (0.000, 0.000, 0.000)
Te (0.500, 0.000, 0.500)
P (0.000, 0.500, 0.500)
Se (0.500, 0.500, 0.000)

Summary:
Space-group type: No. 10
Raw total energy: -5.698 eV per atom
E_form (uncorrected): -1.52 eV/atom

---

Below is Er3TePSe after structural relaxation, with properties calculated at the PBE level.

Cell: 6.773 6.873 7.969 Å, 64.45 82.58 72.57°
Positions (direct):
Er (0.498, 0.835, 0.863)
Er (0.002, 0.302, 0.863)
Er (0.750, 0.245, 0.510)
Er (0.502, 0.165, 0.137)
Er (0.998, 0.698, 0.137)
Er (0.250, 0.755, 0.490)
Te (0.250, 0.252, 0.497)
Te (0.750, 0.748, 0.503)
P (0.750, 0.062, 0.876)
P (0.250, 0.938, 0.124)
Se (0.250, 0.562, 0.877)
Se (0.750, 0.438, 0.123)

Summary:
Space-group type: No. 15
Raw total energy: -5.617 eV per atom
E_form (uncorrected): -1.33 eV/atom

---

Below is ErThPSe after structural relaxation, with properties calculated at the PBE level.

Cell: 3.995 3.996 7.504 Å, 90.00 105.43 120.01°
Positions (direct):
Er (0.490, 0.143, 0.649)
Th (0.116, 0.956, 0.087)
P (0.296, 0.546, 0.858)
Se (0.975, 0.386, 0.376)

Summary:
Space-group type: No. 160
Raw total energy: -6.824 eV per atom
E_form (uncorrected): -1.60 eV/atom

---

Below is Er4TlPSe2 after structural relaxation, with properties calculated at the PBE level.

Cell: 4.012 7.162 7.224 Å, 71.48 90.00 90.00°
Positions (direct):
Er (0.000, 0.752, 0.735)
Er (0.000, 0.248, 0.265)
Er (0.500, 0.736, 0.266)
Er (0.500, 0.264, 0.734)
Tl (0.500, 0.500, 0.000)
P (0.000, 0.500, 0.500)
Se (0.000, 0.000, 0.000)
Se (0.500, 0.000, 0.500)

Summary:
Space-group type: No. 10
Raw total energy: -5.427 eV per atom
E_form (uncorrected): -1.30 eV/atom

---

Below is Er8Tl4PSe3 after structural relaxation, with properties calculated at the PBE level.

Cell: 7.792 9.081 7.811 Å, 115.59 119.92 90.00°
Positions (direct):
Er (0.232, 0.711, 0.980)
Er (0.232, 0.711, 0.463)
Er (0.260, 0.280, 0.520)
Er (0.748, 0.711, 0.980)
Er (0.252, 0.289, 0.020)
Er (0.740, 0.720, 0.480)
Er (0.768, 0.289, 0.537)
Er (0.768, 0.289, 0.020)
Tl (0.500, 0.000, 0.000)
Tl (0.500, 0.000, 0.500)
Tl (0.000, 0.000, 0.000)
Tl (0.000, 0.000, 0.500)
P (0.000, 0.500, 0.000)
Se (0.500, 0.500, 0.000)
Se (0.500, 0.500, 0.500)
Se (0.000, 0.500, 0.500)

Summary:
Space-group type: No. 12
Raw total energy: -4.876 eV per atom
E_form (uncorrected): -1.01 eV/atom

---

Repeat the first record exactly.
Below is Er8Te4PSe3 after structural relaxation, with properties calculated at the PBE level.

Cell: 8.281 8.425 8.281 Å, 119.43 120.00 90.00°
Positions (direct):
Er (0.229, 0.710, 0.981)
Er (0.229, 0.710, 0.458)
Er (0.261, 0.284, 0.523)
Er (0.752, 0.710, 0.981)
Er (0.248, 0.290, 0.019)
Er (0.739, 0.716, 0.477)
Er (0.771, 0.290, 0.542)
Er (0.771, 0.290, 0.019)
Te (0.500, 0.000, 0.000)
Te (0.500, 0.000, 0.500)
Te (0.000, 0.000, 0.000)
Te (0.000, 0.000, 0.500)
P (0.000, 0.500, 0.000)
Se (0.500, 0.500, 0.000)
Se (0.500, 0.500, 0.500)
Se (0.000, 0.500, 0.500)

Summary:
Space-group type: No. 166
Raw total energy: -5.561 eV per atom
E_form (uncorrected): -1.50 eV/atom

---

Which of these has the lowest raw total energy?
ErThPSe

---

Look up the raw total energy of the first one.
-5.561 eV per atom

---

Number 1 is which compound?
Er8Te4PSe3